Crystalline TlSn6S8 at its relaxed geometry, computed with PBE-GGA.

Values from the calculation:
The calculation puts the energy at -0.312 Ry/atom. For the uncorrected formation energy, the calculation gives -0.28 eV per atom. The total moment comes out at 0.00 μB/f.u. The energy above the most stable polymorph in this dataset comes out at 55 meV per atom.

Cell and atoms, written as POSCAR:
```
TlSn6S8
1.0
3.426 1.978 9.619
-3.426 1.978 9.619
0.000 -3.956 9.619
Tl Sn S
1 6 8
Direct
0.000 0.000 0.000 Tl
0.064 0.720 0.409 Sn
0.280 0.591 0.936 Sn
0.409 0.064 0.720 Sn
0.591 0.936 0.280 Sn
0.720 0.409 0.064 Sn
0.936 0.280 0.591 Sn
0.111 0.460 0.763 S
0.237 0.889 0.540 S
0.333 0.333 0.333 S
0.460 0.763 0.111 S
0.540 0.237 0.889 S
0.667 0.667 0.667 S
0.763 0.111 0.460 S
0.889 0.540 0.237 S
```